Record 1
A relaxed structure of LiMnSb2, computed with PBE.

Calculated values
E_form (uncorrected)	277	meV per atom
energy relative to the lowest polymorph listed for this composition	423	meV per atom
Fermi-level density of states	10.613	states/eV per cell

Cell and atoms, written as CIF:
```
data_LiMnSb2
_cell_length_a 3.2978
_cell_length_b 3.2978
_cell_length_c 28.4063
_cell_angle_alpha 90.00
_cell_angle_beta 90.00
_cell_angle_gamma 120.00
_symmetry_space_group_name_H-M 'R 3 m'
_symmetry_Int_Tables_number 160
_symmetry_space_group_name_Hall 'R 3 -2"'
loop_
_atom_site_label
_atom_site_type_symbol
_atom_site_fract_x
_atom_site_fract_y
_atom_site_fract_z
Li1 Li 0.0000 0.0000 0.0000
Mn1 Mn 0.0000 0.0000 0.7467
Sb1 Sb 0.0000 0.0000 0.2537
Sb2 Sb 0.0000 0.0000 0.4857
```

Record 2
A relaxed structure of LiMn2Sb, computed with PBE.

Calculated values
E_form (uncorrected)	78	meV per atom
Fermi-level density of states	7.181	states/eV per cell

Cell and atoms, written as CIF:
```
data_LiMn2Sb
_cell_length_a 3.916
_cell_length_b 3.916
_cell_length_c 7.999
_cell_angle_alpha 90.00
_cell_angle_beta 90.00
_cell_angle_gamma 90.00
_symmetry_space_group_name_H-M 'I -4 m 2'
_symmetry_Int_Tables_number 119
_symmetry_space_group_name_Hall 'I -4 -2'
loop_
_atom_site_label
_atom_site_type_symbol
_atom_site_fract_x
_atom_site_fract_y
_atom_site_fract_z
Li1 Li 0.000 0.000 0.000
Mn1 Mn 0.000 0.000 0.500
Mn2 Mn 0.000 0.500 0.250
Sb1 Sb 0.000 0.500 0.750
```

Record 3
A relaxed structure of Li2MnSb2, computed with PBE.

Calculated values
E_form (uncorrected)	-199	meV per atom
Fermi-level density of states	6.254	states/eV per cell

Cell and atoms, written as CIF:
```
data_Li2MnSb2
_cell_length_a 6.920
_cell_length_b 6.920
_cell_length_c 4.463
_cell_angle_alpha 90.00
_cell_angle_beta 90.00
_cell_angle_gamma 90.00
_symmetry_space_group_name_H-M 'P 4/m b m'
_symmetry_Int_Tables_number 127
_symmetry_space_group_name_Hall '-P 4 2ab'
loop_
_atom_site_label
_atom_site_type_symbol
_atom_site_fract_x
_atom_site_fract_y
_atom_site_fract_z
Li1 Li 0.156 0.344 0.000
Mn1 Mn 0.000 0.000 0.500
Sb1 Sb 0.153 0.653 0.500
```

Record 4
A relaxed structure of Li2MnSb, computed with PBE.

Calculated values
E_form (uncorrected)	-200	meV per atom
Fermi-level density of states	1.140	states/eV per cell

Cell and atoms, written as CIF:
```
data_Li2MnSb
_cell_length_a 4.006
_cell_length_b 4.006
_cell_length_c 4.352
_cell_angle_alpha 90.00
_cell_angle_beta 90.00
_cell_angle_gamma 90.00
_symmetry_space_group_name_H-M 'P 4/m m m'
_symmetry_Int_Tables_number 123
_symmetry_space_group_name_Hall '-P 4 2'
loop_
_atom_site_label
_atom_site_type_symbol
_atom_site_fract_x
_atom_site_fract_y
_atom_site_fract_z
Li1 Li 0.000 0.500 0.000
Mn1 Mn 0.000 0.000 0.500
Sb1 Sb 0.500 0.500 0.500
```

The lowest Fermi-level density of states belongs to which entry? Li2MnSb

E_form (uncorrected) of number 3 (Li2MnSb2)? -199 meV per atom

What is the E_form (uncorrected) in the second record? 78 meV per atom

Which formula does entry 3 have? Li2MnSb2